{
  "formula": "CaFe2Ru",
  "functional": "GGA-PBE",
  "state": "optimized geometry",
  "e_tot_ry_per_atom": -0.4785,
  "ef_ev_per_fu": 2.159,
  "magmom_total_mub_per_atom": 1.4578,
  "space_group": "Cmmm, No. 65",
  "vol_a3_per_atom": 15.59,
  "crystal_system": "orthorhombic",
  "mass_density_g_cm3": 6.73,
  "lattice_angstrom": [[4.457, 0.726, 0.000], [-0.718, 4.458, 0.000], [0.000, 0.000, 3.058]],
  "species": ["Ru", "Ca", "Fe", "Fe"],
  "fractional_positions": [[0.500, 0.000, 0.500], [0.000, 0.500, 0.500], [0.000, 0.000, 0.000], [0.500, 0.500, 0.000]]
}



{
  "formula": "CaFeRu",
  "functional": "GGA-PBE",
  "state": "optimized geometry",
  "e_tot_ry_per_atom": -0.4344,
  "e_above_lowest_polymorph_mev_per_atom": 545,
  "ef_ev_per_fu": 2.009,
  "magmom_total_mub_per_atom": 0.9957,
  "space_group": "P3m1, No. 156",
  "vol_a3_per_atom": 18.08,
  "crystal_system": "trigonal",
  "mass_density_g_cm3": 6.03,
  "lattice_angstrom": [[3.059, 0.000, 0.000], [-1.529, 2.649, 0.000], [0.000, 0.000, 6.696]],
  "species": ["Ru", "Ca", "Fe"],
  "fractional_positions": [[0.333, 0.667, 0.634], [0.000, 0.000, 0.989], [0.667, 0.333, 0.377]]
}



{
  "formula": "CaFe2Ru",
  "functional": "GGA-PBE",
  "state": "optimized geometry",
  "e_tot_ry_per_atom": -0.4612,
  "ef_ev_per_fu": 3.102,
  "magmom_total_mub_per_atom": 0.0006,
  "space_group": "Fm-3m, No. 225",
  "vol_a3_per_atom": 14.43,
  "crystal_system": "cubic",
  "mass_density_g_cm3": 7.28,
  "lattice_angstrom": [[0.000, 3.067, 3.067], [3.067, 0.000, 3.067], [3.067, 3.067, 0.000]],
  "species": ["Ru", "Ca", "Fe", "Fe"],
  "fractional_positions": [[0.500, 0.500, 0.500], [0.000, 0.000, 0.000], [0.250, 0.250, 0.250], [0.750, 0.750, 0.750]]
}



{
  "formula": "CaFe2Ru",
  "functional": "GGA-PBE",
  "state": "optimized geometry",
  "e_tot_ry_per_atom": -0.4556,
  "ef_ev_per_fu": 3.409,
  "magmom_total_mub_per_atom": 0.0000,
  "space_group": "I-42d, No. 122",
  "vol_a3_per_atom": 17.05,
  "crystal_system": "tetragonal",
  "mass_density_g_cm3": 6.15,
  "lattice_angstrom": [[7.014, 0.000, 0.000], [0.000, 7.014, 0.000], [3.507, 3.507, 2.773]],
  "species": ["Ru", "Ru", "Ca", "Ca", "Fe", "Fe", "Fe", "Fe"],
  "fractional_positions": [[0.000, 0.000, 0.000], [0.750, 0.250, 0.500], [0.500, 0.500, 0.000], [0.250, 0.750, 0.500], [0.690, 0.125, 0.250], [0.060, 0.625, 0.250], [0.375, 0.310, 0.750], [0.875, 0.940, 0.750]]
}



{
  "formula": "Ca2Fe2Ru",
  "functional": "GGA-PBE",
  "state": "optimized geometry",
  "e_tot_ry_per_atom": -0.4165,
  "ef_ev_per_fu": 1.872,
  "magmom_total_mub_per_atom": 0.0000,
  "space_group": "P4/mbm, No. 127",
  "vol_a3_per_atom": 18.14,
  "crystal_system": "tetragonal",
  "mass_density_g_cm3": 5.36,
  "lattice_angstrom": [[-3.987, 1.753, -4.379], [-2.141, -5.781, -0.365], [-3.235, 0.988, 3.341]],
  "species": ["Ru", "Ru", "Ca", "Ca", "Ca", "Ca", "Fe", "Fe", "Fe", "Fe"],
  "fractional_positions": [[0.000, 0.000, 0.000], [0.500, 0.500, 0.000], [0.184, 0.684, 0.500], [0.684, 0.816, 0.500], [0.816, 0.316, 0.500], [0.316, 0.184, 0.500], [0.378, 0.878, 0.000], [0.878, 0.622, 0.000], [0.622, 0.122, 0.000], [0.122, 0.378, 0.000]]
}



{
  "formula": "CaFeRu",
  "functional": "GGA-PBE",
  "state": "optimized geometry",
  "e_tot_ry_per_atom": -0.4612,
  "e_above_lowest_polymorph_mev_per_atom": 180,
  "ef_ev_per_fu": 0.914,
  "magmom_total_mub_per_atom": 0.0000,
  "space_group": "P-6m2, No. 187",
  "vol_a3_per_atom": 20.24,
  "crystal_system": "hexagonal",
  "mass_density_g_cm3": 5.39,
  "lattice_angstrom": [[-1.217, -2.704, -2.502], [-1.152, -0.125, 3.703], [-3.688, 2.640, -1.059]],
  "species": ["Ru", "Ca", "Fe"],
  "fractional_positions": [[0.333, 0.667, 0.500], [0.000, 0.000, 0.000], [0.667, 0.333, 0.500]]
}



{
  "formula": "CaSc2FeRu",
  "functional": "GGA-PBE",
  "state": "optimized geometry",
  "e_tot_ry_per_atom": -0.4303,
  "ef_ev_per_fu": 3.131,
  "magmom_total_mub_per_atom": 0.0005,
  "space_group": "P4/mmm, No. 123",
  "vol_a3_per_atom": 21.70,
  "crystal_system": "tetragonal",
  "mass_density_g_cm3": 4.39,
  "lattice_angstrom": [[4.662, 0.000, 0.000], [0.000, 4.991, 0.000], [0.000, 0.000, 4.662]],
  "species": ["Sc", "Sc", "Ru", "Ca", "Fe"],
  "fractional_positions": [[0.000, 0.000, 0.500], [0.500, 0.000, 0.000], [0.500, 0.500, 0.500], [0.000, 0.500, 0.000], [0.000, 0.000, 0.000]]
}



{
  "formula": "CaFeRu2Se",
  "functional": "GGA-PBE",
  "state": "optimized geometry",
  "e_tot_ry_per_atom": -0.4256,
  "magmom_total_mub_per_atom": 0.2750,
  "space_group": "P4/mmm, No. 123",
  "vol_a3_per_atom": 20.59,
  "e_form_raw_ev_per_atom": 0.710,
  "crystal_system": "tetragonal",
  "mass_density_g_cm3": 6.08,
  "lattice_angstrom": [[4.379, 0.000, 0.000], [0.000, 5.369, 0.000], [0.000, 0.000, 4.379]],
  "species": ["Ru", "Ru", "Ca", "Fe", "Se"],
  "fractional_positions": [[0.000, 0.000, 0.500], [0.500, 0.000, 0.000], [0.000, 0.500, 0.000], [0.000, 0.000, 0.000], [0.500, 0.500, 0.500]]
}



{
  "formula": "CaFeTc2Ru",
  "functional": "GGA-PBE",
  "state": "optimized geometry",
  "e_tot_ry_per_atom": -0.5063,
  "ef_ev_per_fu": 6.030,
  "magmom_total_mub_per_atom": 0.0758,
  "space_group": "P4/mmm, No. 123",
  "vol_a3_per_atom": 19.87,
  "crystal_system": "tetragonal",
  "mass_density_g_cm3": 6.57,
  "lattice_angstrom": [[4.696, 0.000, 0.000], [0.000, 4.506, 0.000], [0.000, 0.000, 4.696]],
  "species": ["Ru", "Ca", "Tc", "Tc", "Fe"],
  "fractional_positions": [[0.000, 0.000, 0.000], [0.500, 0.500, 0.500], [0.000, 0.000, 0.500], [0.500, 0.000, 0.000], [0.000, 0.500, 0.000]]
}



{
  "formula": "CaFe2S4",
  "functional": "GGA-PBE",
  "state": "optimized geometry",
  "e_tot_ry_per_atom": -0.4164,
  "e_above_lowest_polymorph_mev_per_atom": 105,
  "magmom_total_mub_per_atom": 0.2855,
  "space_group": "Fd-3m, No. 227",
  "vol_a3_per_atom": 18.89,
  "e_form_raw_ev_per_atom": -0.603,
  "crystal_system": "cubic",
  "mass_density_g_cm3": 3.52,
  "lattice_angstrom": [[-6.554, 2.242, 1.982], [-3.907, 4.095, -4.458], [-5.856, -2.724, -3.191]],
  "species": ["Ca", "Ca", "Fe", "Fe", "Fe", "Fe", "S", "S", "S", "S", "S", "S", "S", "S"],
  "fractional_positions": [[0.000, 0.000, 0.000], [0.250, 0.250, 0.250], [0.625, 0.625, 0.625], [0.625, 0.125, 0.625], [0.625, 0.625, 0.125], [0.125, 0.625, 0.625], [0.852, 0.852, 0.852], [0.398, 0.806, 0.398], [0.806, 0.398, 0.398], [0.398, 0.398, 0.806], [0.444, 0.852, 0.852], [0.852, 0.852, 0.444], [0.398, 0.398, 0.398], [0.852, 0.444, 0.852]]
}



{
  "formula": "CaFe2S5",
  "functional": "GGA-PBE",
  "state": "optimized geometry",
  "e_tot_ry_per_atom": -0.4103,
  "magmom_total_mub_per_atom": 0.6967,
  "space_group": "Pmmn, No. 59",
  "vol_a3_per_atom": 21.52,
  "e_form_raw_ev_per_atom": -0.637,
  "crystal_system": "orthorhombic",
  "mass_density_g_cm3": 3.01,
  "lattice_angstrom": [[-1.815, -3.162, 1.424], [-1.520, -1.952, -6.273], [11.178, -6.699, -0.624]],
  "species": ["Ca", "Ca", "Fe", "Fe", "Fe", "Fe", "S", "S", "S", "S", "S", "S", "S", "S", "S", "S"],
  "fractional_positions": [[0.500, 0.936, 0.000], [0.000, 0.064, 0.500], [0.000, 0.499, 0.844], [0.500, 0.501, 0.656], [0.500, 0.501, 0.344], [0.000, 0.499, 0.156], [0.500, 0.356, 0.500], [0.000, 0.644, 0.000], [0.500, 0.671, 0.805], [0.000, 0.329, 0.695], [0.500, 0.671, 0.195], [0.000, 0.329, 0.305], [0.000, 0.199, 0.082], [0.500, 0.801, 0.418], [0.500, 0.801, 0.582], [0.000, 0.199, 0.918]]
}



{
  "formula": "CaFe2S4",
  "functional": "GGA-PBE",
  "state": "optimized geometry",
  "e_tot_ry_per_atom": -0.4241,
  "e_above_lowest_polymorph_mev_per_atom": 0,
  "magmom_total_mub_per_atom": 0.2872,
  "space_group": "Imma, No. 74",
  "vol_a3_per_atom": 17.67,
  "e_form_raw_ev_per_atom": -0.707,
  "crystal_system": "orthorhombic",
  "mass_density_g_cm3": 3.76,
  "lattice_angstrom": [[2.252, -6.474, -1.613], [-6.416, -2.527, 1.424], [0.996, 5.105, -4.747]],
  "species": ["Ca", "Ca", "Fe", "Fe", "Fe", "Fe", "S", "S", "S", "S", "S", "S", "S", "S"],
  "fractional_positions": [[0.000, 0.000, 0.000], [0.500, 0.000, 0.500], [0.000, 0.500, 0.000], [0.000, 0.500, 0.500], [0.000, 0.000, 0.500], [0.500, 0.500, 0.000], [0.239, 0.272, 0.967], [0.236, 0.695, 0.959], [0.805, 0.272, 0.533], [0.764, 0.723, 0.459], [0.195, 0.728, 0.467], [0.764, 0.305, 0.041], [0.236, 0.277, 0.541], [0.761, 0.728, 0.033]]
}